A plane-wave DFT calculation with GGA-PBE was carried out for a geometry-optimized Sc2HgSe structure.

Calculated values
DFT total energy	-16.7	eV for the cell shown
DOS(E_F)	6.378	states/eV/f.u.
excess energy over the best structure of this formula in the dataset	88.2	kJ per mole of atoms
total magnetic moment	2.3	Bohr magnetons per cell

The structure in POSCAR format:
```
Sc2HgSe
1.0
-1.145 -4.628 -1.659
3.668 -3.377 -0.794
0.480 -3.975 3.075
Hg Sc Se
1 2 1
direct
0.500 0.500 0.500
0.000 0.000 0.000
0.250 0.250 0.250
0.750 0.750 0.750
```